[1]
A geometry-optimized ZnCrSi2 structure. Source: Alexandria via LeMat-Bulk, functional PBE.

The space group is No. 122. Its spin magnetization is 0.00 Bohr magnetons per cell. Its calculated density is 4.8 Mg/m³. For the uncorrected formation energy, the calculation gives 2.289 eV per formula unit.

Cell: 5.479 5.479 5.479 Å, 102.45 102.45 124.67°
Element x y z (fractional)
Zn: 0.000 0.000 0.000
Zn: 0.750 0.250 0.500
Cr: 0.250 0.750 0.500
Cr: 0.500 0.500 0.000
Si: 0.146 0.125 0.521
Si: 0.375 0.854 0.979
Si: 0.604 0.625 0.479
Si: 0.875 0.396 0.021


[2]
A geometry-optimized YZr3 structure. Source: Alexandria via LeMat-Bulk, functional PBE.

The space group is No. 194. Its spin magnetization is 0.00 Bohr magnetons per cell. Its calculated density is 6.0 Mg/m³. The energy of formation from the pure elements is 57.1 meV/atom.

Cell: 6.661 6.661 5.245 Å, 90.00 90.00 120.00°
Element x y z (fractional)
Y: 0.333 0.667 0.250
Y: 0.667 0.333 0.750
Zr: 0.161 0.322 0.750
Zr: 0.161 0.839 0.750
Zr: 0.322 0.161 0.250
Zr: 0.678 0.839 0.750
Zr: 0.839 0.161 0.250
Zr: 0.839 0.678 0.250


[3]
A geometry-optimized SrPr3Sm2Se6 structure. Source: Alexandria via LeMat-Bulk, functional PBE.

The space group is No. 12. Its spin magnetization is 0.00 Bohr magnetons per cell. Its calculated density is 6.5 Mg/m³. For the uncorrected formation energy, the calculation gives -22.234 eV per formula unit.

Cell: 7.353 7.353 7.406 Å, 99.49 99.49 120.06°
Element x y z (fractional)
Sr: 0.000 0.000 0.000
Pr: 0.163 0.837 0.500
Pr: 0.500 0.500 0.500
Pr: 0.837 0.163 0.500
Sm: 0.333 0.667 0.000
Sm: 0.667 0.333 0.000
Se: 0.082 0.421 0.247
Se: 0.258 0.258 0.759
Se: 0.421 0.082 0.247
Se: 0.579 0.918 0.753
Se: 0.742 0.742 0.241
Se: 0.918 0.579 0.753